# 1
Here is a relaxed Tl4NiI2 crystal from Alexandria. Energies are from PBE.

The structure belongs to space group I4/mmm (No. 139); the cell edges are 5.2101, 5.2101 and 18.0645 Å and the angles 90.00°, 90.00° and 90.00°. Symmetry generates all atoms from Tl at (0.0000, 0.0000, 0.1501), Tl at (0.0000, 0.5000, 0.0000), Ni at (0.0000, 0.0000, 0.0000) and I at (0.0000, 0.0000, 0.3457).

The magnetic moment is 0.00 μB per formula unit. The total DFT energy (no corrections) is -2.873 eV per atom. The raw formation energy is -5.80 kcal/mol of atoms.

---

# 2
Here is a relaxed Sb2PtS2 crystal from Alexandria. Energies are from PBE.

The structure belongs to space group P4/mbm (No. 127); the cell edges are 7.7532, 7.7532 and 3.8777 Å and the angles 90.00°, 90.00° and 90.00°. Symmetry generates all atoms from Sb at (0.2112, 0.2888, 0.0000), Pt at (0.0000, 0.0000, 0.0000) and S at (0.1396, 0.6396, 0.5000).

The value obtained for the polymorph energy (0 for the lowest one) is 0.00 eV/f.u. The magnetic moment is 0.00 μB per formula unit. The total DFT energy (no corrections) is -4.421 eV per atom. The raw formation energy is 2.01 kcal/mol of atoms.

---

# 3
Here is a relaxed MgTl2Pb2 crystal from Alexandria. Energies are from PBE.

The structure belongs to space group P4/mbm (No. 127); the cell edges are 7.7938, 7.7938 and 4.9874 Å and the angles 90.00°, 90.00° and 90.00°. Symmetry generates all atoms from Mg at (0.0000, 0.0000, 0.0000), Tl at (0.1464, 0.3536, 0.0000) and Pb at (0.1600, 0.6600, 0.5000).

The value obtained for the polymorph energy (0 for the lowest one) is 0.58 eV/f.u. As for the formation enthalpy at 0 K: 100 meV/atom. The magnetic moment is 0.00 μB per formula unit. The total DFT energy (no corrections) is -2.649 eV per atom.

---

> The highest total DFT energy (no corrections) belongs to which entry?

MgTl2Pb2

---

> What is the formula in the second record?

Sb2PtS2